UNi3P | GGA-PBE | optimized geometry

- Energy: -7.194 eV per atom
- Density of states at the Fermi level: 10.18 states/eV/cell
- Formation energy from the elements: -0.3854 eV per atom

Structure (extended XYZ):
```
10
Lattice="5.259 -0.164 -0.001 -0.166 5.415 -0.001 0.000 0.001 5.055" Properties=species:S:1:pos:R:3 pbc="T T T"
Ni 1.816 1.237 1.014
Ni -0.035 2.605 4.821
Ni 2.275 4.587 2.241
Ni 4.372 0.452 3.541
Ni 2.275 4.587 4.845
Ni -0.034 2.605 2.264
P 3.318 2.870 1.015
P 0.474 4.403 3.542
U 2.272 1.931 3.542
U 4.695 5.238 1.013
```

***

LiGaSn | GGA-PBE | optimized geometry

- Energy: -3.177 eV per atom
- Density of states at the Fermi level: 2.44 states/eV/cell
- Formation energy from the elements: -0.1958 eV per atom

Structure (extended XYZ):
```
6
Lattice="-0.616 -0.425 -4.205 4.217 0.234 -0.642 0.456 -6.572 0.597" Properties=species:S:1:pos:R:3 pbc="T T T"
Sn 0.059 -5.509 -1.622
Sn 2.197 -1.158 -0.205
Ga -0.207 -1.670 -1.970
Ga 2.463 -4.997 0.144
Li 2.028 -3.381 -2.125
Li 0.228 -3.286 0.298
```

***

YAg3Hg | GGA-PBE | optimized geometry

- Energy: -2.262 eV per atom
- Polymorph energy (0 for the lowest one): 421 kJ/mol of formula units
- Density of states at the Fermi level: 0.42 states/eV/cell
- Formation energy from the elements: 0.8023 eV per atom

Structure (extended XYZ):
```
5
Lattice="-2.308 -0.081 5.205 2.110 -5.220 0.854 4.759 2.275 2.145" Properties=species:S:1:pos:R:3 pbc="T T T"
Ag 2.380 1.137 1.073
Ag -1.154 -0.040 2.603
Ag 1.055 -2.610 0.427
Hg 2.281 -1.513 4.102
Y 0.000 0.000 0.000
```